ThGaNi2Pt2: optimized geometry, PBE-GGA.

a b c (Å): 4.613 4.613 5.480
angles (deg): 90.00 90.00 90.00
Element x y z (fractional)
Th1 0.000 0.000 0.000
Ga1 0.000 0.000 0.500
Ni1 0.500 0.500 0.235
Ni2 0.500 0.500 0.765
Pt1 0.000 0.500 0.500
Pt2 0.500 0.000 0.500

## Properties
Electronic total energy ... -33.46 eV/f.u.
Space-group type ... No. 123


ThGaNiPt3: optimized geometry, PBE-GGA.

a b c (Å): 6.647 6.647 5.768
angles (deg): 90.00 90.00 120.02
Element x y z (fractional)
Th1 0.215 0.785 0.750
Th2 0.785 0.215 0.250
Ga1 0.131 0.869 0.250
Ga2 0.869 0.131 0.750
Ni1 0.423 0.577 0.750
Ni2 0.577 0.423 0.250
Pt1 0.218 0.218 0.000
Pt2 0.218 0.218 0.500
Pt3 0.341 0.659 0.250
Pt4 0.659 0.341 0.750
Pt5 0.782 0.782 0.000
Pt6 0.782 0.782 0.500

## Properties
Electronic total energy ... -38.07 eV/f.u.
Space-group type ... No. 63


ThGa2Ni5Pt: optimized geometry, PBE-GGA.

a b c (Å): 3.776 3.776 9.369
angles (deg): 90.00 90.00 90.00
Element x y z (fractional)
Th1 0.000 0.000 0.000
Ga1 0.500 0.500 0.371
Ga2 0.500 0.500 0.629
Ni1 0.000 0.500 0.217
Ni2 0.000 0.500 0.783
Ni3 0.500 0.000 0.217
Ni4 0.500 0.000 0.783
Ni5 0.500 0.500 0.000
Pt1 0.000 0.000 0.500

## Properties
Electronic total energy ... -50.08 eV/f.u.
Space-group type ... No. 123


One value per record, in order, for calculated density: 11.5 14.2 10.7 g/cm3.